! Pm2Sm3ErAs6, relaxed, DFT GGA-PBE; values from VASP
! E_form: -1.521 eV/atom
&SYSTEM
  ibrav = 0, nat = 12, ntyp = 4
/
ATOMIC_SPECIES
Pm 145.00 Pm.upf
Sm 150.36 Sm.upf
Er 167.26 Er.upf
As 74.92 As.upf
CELL_PARAMETERS angstrom
9.154 -2.102 0.000
9.154 2.102 0.000
-1.928 0.000 8.176
ATOMIC_POSITIONS angstrom
Pm 2.395 0.000 2.715
Pm 13.985 0.000 5.460
Sm 1.452 0.000 6.818
Sm 8.190 0.000 4.088
Sm 14.929 0.000 1.357
Er 9.154 0.000 0.000
As -1.443 0.000 6.182
As 5.306 0.000 3.400
As 4.372 0.000 7.514
As 12.008 0.000 0.662
As 11.074 0.000 4.776
As 17.823 0.000 1.994

! PmSm2ErAs4, relaxed, DFT GGA-PBE; values from VASP
! E_form: -1.519 eV/atom
&SYSTEM
  ibrav = 0, nat = 8, ntyp = 4
/
ATOMIC_SPECIES
Pm 145.00 Pm.upf
Sm 150.36 Sm.upf
Er 167.26 Er.upf
As 74.92 As.upf
CELL_PARAMETERS angstrom
7.253 0.000 0.000
0.000 4.192 0.000
-2.418 0.000 6.839
ATOMIC_POSITIONS angstrom
Pm 0.000 0.000 0.000
Sm -1.209 2.096 3.419
Sm 2.418 0.000 3.419
Er 3.627 2.096 0.000
As 1.240 2.096 1.697
As 0.030 0.000 5.163
As 4.805 0.000 1.676
As 3.595 2.096 5.142

! Pm2SmErAs4, relaxed, DFT GGA-PBE; values from VASP
! E_form: -1.520 eV/atom
&SYSTEM
  ibrav = 0, nat = 8, ntyp = 4
/
ATOMIC_SPECIES
Pm 145.00 Pm.upf
Sm 150.36 Sm.upf
Er 167.26 Er.upf
As 74.92 As.upf
CELL_PARAMETERS angstrom
7.263 0.000 0.000
0.000 4.197 0.000
-2.421 0.000 6.848
ATOMIC_POSITIONS angstrom
Pm 0.000 0.000 0.000
Pm -1.211 2.099 3.424
Sm 2.421 0.000 3.424
Er 3.631 2.099 0.000
As 1.246 2.099 1.697
As 0.035 0.000 5.177
As 4.806 0.000 1.672
As 3.595 2.099 5.152

! PmSm2Er3As6, relaxed, DFT GGA-PBE; values from VASP
! E_form: -1.519 eV/atom
&SYSTEM
  ibrav = 0, nat = 12, ntyp = 4
/
ATOMIC_SPECIES
Pm 145.00 Pm.upf
Sm 150.36 Sm.upf
Er 167.26 Er.upf
As 74.92 As.upf
CELL_PARAMETERS angstrom
9.047 -2.078 0.000
9.047 2.078 0.000
-1.895 0.000 8.082
ATOMIC_POSITIONS angstrom
Pm 0.000 0.000 0.000
Sm 4.766 0.000 5.388
Sm 11.434 0.000 2.694
Er -0.947 0.000 4.041
Er 5.716 0.000 1.350
Er 10.483 0.000 6.733
As 1.869 0.000 4.750
As 2.907 0.000 0.637
As 8.531 0.000 2.066
As 7.669 0.000 6.016
As 13.293 0.000 7.445
As 14.331 0.000 3.332

Which value of E_form does entry 2 give? -1.519 eV/atom

Which formula does entry 1 have? Pm2Sm3ErAs6